The following is a PBE calculation of an optimized crystal structure of ThGaPdPt, from the Alexandria database.

Geometry as extended XYZ:
```
4
Lattice="-2.546 2.898 -2.944 0.359 -0.510 -4.813 -3.731 -1.790 -2.536" Properties=species:S:1:pos:R:3 pbc="T T T"
Ga -2.959 0.299 -5.146
Pd -1.479 0.150 -2.573
Pt -4.438 0.449 -7.719
Th 0.000 0.000 0.000
```

Properties
E_form = -0.80 eV/atom
Calculated volume = 81 Å³ per cell
Polymorph energy (0 for the lowest one) = 0.00 kJ/mol of atoms

The following is a PBE calculation of an optimized crystal structure of LiLa2PdRu, from the Alexandria database.

Geometry as extended XYZ:
```
5
Lattice="5.307 0.000 0.000 0.000 5.307 0.000 0.000 0.000 4.612" Properties=species:S:1:pos:R:3 pbc="T T T"
Li 0.000 0.000 2.306
Pd 2.654 2.654 2.306
Ru 0.000 0.000 0.000
La 2.654 0.000 0.000
La 0.000 2.654 0.000
```

Properties
E_form = -0.13 eV/atom
Calculated volume = 130 Å³ per cell

The following is a PBE calculation of an optimized crystal structure of Mn2RuPtC, from the Alexandria database.

Geometry as extended XYZ:
```
5
Lattice="-1.816 3.154 -1.582 -3.438 -1.180 1.595 0.799 2.105 3.279" Properties=species:S:1:pos:R:3 pbc="T T T"
C 0.000 0.000 0.000
Pt -2.228 2.040 1.646
Mn -1.719 -0.590 0.797
Ru 0.399 1.052 1.639
Mn -0.908 1.577 -0.791
```

Properties
E_form = 0.02 eV/atom
Calculated volume = 63 Å³ per cell

The following is a PBE calculation of an optimized crystal structure of ScTiNF2, from the Alexandria database.

Geometry as extended XYZ:
```
5
Lattice="-3.268 2.223 -0.127 -1.755 -2.710 -2.283 -1.411 -1.885 3.322" Properties=species:S:1:pos:R:3 pbc="T T T"
Ti 0.000 0.000 0.000
N -0.706 -0.942 1.661
Sc -3.217 -1.186 0.456
F -1.634 1.111 -0.063
F -0.877 -1.355 -1.141
```

Properties
E_form (uncorrected) = -1.806 eV/atom
Calculated volume = 64 Å³ per cell
Polymorph energy (0 for the lowest one) = 0.00 kJ/mol of atoms

The following is a PBE calculation of an optimized crystal structure of PmBeSb, from the Alexandria database.

Geometry as extended XYZ:
```
6
Lattice="4.180 0.000 0.000 0.000 6.838 0.803 -2.090 -2.106 5.071" Properties=species:S:1:pos:R:3 pbc="T T T"
Pm 0.000 0.454 1.639
Be 0.000 2.143 3.807
Sb 0.000 -0.321 4.643
Be 2.090 2.589 2.067
Sb 2.090 5.052 1.231
Pm 2.090 4.277 4.235
```

Properties
E_form (uncorrected) = -0.208 eV/atom
Calculated volume = 152 Å³ per cell
Polymorph energy (0 for the lowest one) = 38.55 kJ/mol of atoms

The following is a PBE calculation of an optimized crystal structure of Na2VFeIr, from the Alexandria database.

Geometry as extended XYZ:
```
5
Lattice="-3.226 -1.024 -3.963 3.436 0.261 -2.864 0.886 -5.101 0.597" Properties=species:S:1:pos:R:3 pbc="T T T"
Fe 0.548 -2.932 -3.115
Ir 1.718 0.131 -1.432
Na -1.613 -0.512 -1.981
Na 0.443 -2.550 0.299
V 0.000 0.000 0.000
```

Properties
E_form = 1.49 eV/atom
Calculated volume = 122 Å³ per cell

The following is a PBE calculation of an optimized crystal structure of Pm2ErCl, from the Alexandria database.

Geometry as extended XYZ:
```
4
Lattice="3.642 0.000 0.000 1.821 3.154 0.000 1.821 1.051 10.237" Properties=species:S:1:pos:R:3 pbc="T T T"
Pm 1.821 1.051 2.253
Cl 0.000 0.000 0.000
Er 3.642 2.102 5.118
Pm 5.462 3.154 7.983
```

Properties
E_form (uncorrected) = -0.663 eV/atom
Calculated volume = 118 Å³ per cell

The following is a PBE calculation of an optimized crystal structure of Mg12Cu6Rh, from the Alexandria database.

Geometry as extended XYZ:
```
19
Lattice="7.165 0.000 -2.533 -3.582 6.205 -2.533 0.000 0.000 7.599" Properties=species:S:1:pos:R:3 pbc="T T T"
Cu -1.295 3.962 1.831
Mg 3.305 4.487 0.234
Mg -1.322 4.487 4.561
Mg 1.956 5.586 -2.767
Mg 3.225 3.389 3.039
Mg -2.233 5.106 -0.234
Mg 0.965 5.106 2.028
Mg 5.816 1.099 2.767
Cu 4.877 2.243 0.702
Cu 3.086 0.860 3.235
Mg 0.277 1.718 2.300
Mg 0.357 2.816 -0.505
Cu 0.496 5.345 -0.702
Mg 1.626 0.619 5.300
Cu 0.799 3.102 4.364
Cu 2.784 3.102 -1.831
Mg 2.618 1.099 0.505
Rh 0.000 0.000 0.000
Mg 4.904 1.718 -2.028
```

Properties
E_form = -0.11 eV/atom
Calculated volume = 338 Å³ per cell

The following is a PBE calculation of an optimized crystal structure of Ac2PrSb2Te2, from the Alexandria database.

Geometry as extended XYZ:
```
7
Lattice="5.913 0.000 0.000 0.000 5.913 0.000 -2.957 -2.957 8.291" Properties=species:S:1:pos:R:3 pbc="T T T"
Ac 2.957 2.957 1.994
Pr 0.000 0.000 0.000
Te 2.957 2.957 5.160
Sb 2.957 0.000 0.000
Sb 0.000 2.957 0.000
Te 0.000 0.000 3.131
Ac 0.000 0.000 6.297
```

Properties
E_form (uncorrected) = -0.899 eV/atom
Calculated volume = 290 Å³ per cell

The following is a PBE calculation of an optimized crystal structure of LaSi3Ru, from the Alexandria database.

Geometry as extended XYZ:
```
5
Lattice="4.681 0.000 0.000 0.000 4.681 0.000 0.000 0.000 4.681" Properties=species:S:1:pos:R:3 pbc="T T T"
La 2.340 2.340 2.340
Si 2.340 0.000 0.000
Si 0.000 0.000 2.340
Si 0.000 2.340 0.000
Ru 0.000 0.000 0.000
```

Properties
E_form (uncorrected) = -0.067 eV/atom
Calculated volume = 103 Å³ per cell

The following is a PBE calculation of an optimized crystal structure of Ba3Sb2Pd5, from the Alexandria database.

Geometry as extended XYZ:
```
20
Lattice="-0.591 5.835 -2.852 -8.426 0.402 -4.886 -5.973 5.617 5.274" Properties=species:S:1:pos:R:3 pbc="T T T"
Pd -5.325 6.425 -0.663
Pd -9.666 5.429 -1.801
Ba -0.148 1.459 -0.713
Pd -3.162 1.499 -0.006
Ba -0.444 4.377 -2.139
Pd -11.829 10.356 -2.458
Ba -6.438 4.876 -3.603
Pd -3.458 4.417 -1.432
Sb -9.070 10.578 1.154
Pd -7.643 7.386 -1.945
Pd -9.469 9.394 -1.186
Pd -5.522 2.460 -1.278
Sb -5.921 1.276 -3.618
Sb -10.379 4.249 -4.067
Sb -4.611 7.605 1.603
Ba -8.553 6.979 1.139
Pd -7.347 4.468 -0.519
Ba -5.172 4.020 1.841
Ba -9.818 7.835 -4.305
Pd -11.533 7.438 -1.032
```

Properties
E_form (uncorrected) = -0.439 eV/atom
Calculated volume = 540 Å³ per cell

The following is a PBE calculation of an optimized crystal structure of YAgSn3, from the Alexandria database.

Geometry as extended XYZ:
```
20
Lattice="6.208 0.000 0.000 0.000 6.236 0.000 0.000 0.000 12.833" Properties=species:S:1:pos:R:3 pbc="T T T"
Sn 4.656 3.187 3.356
Sn 3.104 1.559 6.429
Sn 4.656 5.295 0.964
Sn 1.552 4.060 0.964
Ag 3.104 1.559 1.444
Ag 0.000 4.677 11.389
Sn 1.552 3.050 9.477
Sn 4.656 0.068 9.477
Sn 4.656 2.177 11.869
Ag 3.104 4.677 11.389
Y 4.656 0.049 3.966
Sn 0.000 1.559 6.429
Sn 1.552 6.168 3.356
Sn 3.104 4.677 6.404
Y 4.656 3.167 8.867
Y 1.552 3.070 3.966
Ag 0.000 1.559 1.444
Sn 0.000 4.677 6.404
Sn 1.552 0.941 11.869
Y 1.552 6.188 8.867
```

Properties
E_form = -0.34 eV/atom
Calculated volume = 497 Å³ per cell
Polymorph energy (0 for the lowest one) = 0.00 kJ/mol of atoms

no.,spin magnetization (μB/f.u.)
1,0.00
2,0.00
3,5.80
4,1.92
5,0.00
6,5.64
7,0.00
8,0.00
9,0.00
10,0.00
11,0.00
12,0.00